Density functional theory data (PBE-GGA) for a relaxed InAg7Sn2Sb2 crystal.

ΔE_f (raw) = 8.51 kJ/mol of atoms
magnetization = 0.00 μB/cell
density of states at the Fermi level = 4.4 states/eV/f.u.
uncorrected energy = -3.1574 eV/atom

Structure (POSCAR):
```
InAg7Sn2Sb2
1.0
2.8901 -2.8833 0.0000
2.8901 2.8833 0.0000
-2.7126 0.0000 15.9099
In Ag Sn Sb
1 7 2 2
direct
0.0000 0.0000 0.0000
0.0685 0.5685 0.1401
0.2695 0.2695 0.5375
0.4315 0.9315 0.8599
0.5000 0.5000 0.0000
0.5685 0.0685 0.1401
0.7305 0.7305 0.4625
0.9315 0.4315 0.8599
0.3610 0.3610 0.7203
0.6390 0.6390 0.2797
0.1813 0.1813 0.3631
0.8187 0.8187 0.6369
```

Density functional theory data (PBE-GGA) for a relaxed In3CN crystal.

energy relative to the lowest polymorph listed for this composition = 0.000 eV per atom
ΔE_f (raw) = 145.07 kJ/mol of atoms
magnetization = 0.00 μB/cell
density of states at the Fermi level = 1.8 states/eV/f.u.
uncorrected energy = -3.6494 eV/atom

Structure (POSCAR):
```
In3CN
1.0
4.6012 0.0000 0.0000
0.0000 4.6012 0.0000
0.0000 0.0000 4.6012
In C N
3 1 1
direct
0.0000 0.0000 0.5000
0.0000 0.5000 0.0000
0.5000 0.0000 0.0000
0.0000 0.0000 0.0000
0.5000 0.5000 0.5000
```